Here is an optimized crystal structure of K2CdI from the Alexandria database. Energies are from PBE.

M_tot = 0.98 μB/f.u.
offset from the most stable computed form = 131 meV per atom
density = 2.61 g cm⁻³
formation energy (no corrections) = -12.4 kcal/mol of atoms

CIF file:
```
data_K2CdI
_cell_length_a 9.5334
_cell_length_b 9.5334
_cell_length_c 8.8945
_cell_angle_alpha 90.00
_cell_angle_beta 90.00
_cell_angle_gamma 90.00
_symmetry_space_group_name_H-M 'I -4 2 d'
_symmetry_Int_Tables_number 122
_symmetry_space_group_name_Hall 'I -4 2bw'
loop_
_atom_site_label
_atom_site_type_symbol
_atom_site_fract_x
_atom_site_fract_y
_atom_site_fract_z
K1 K 0.2315 0.2500 0.1250
Cd1 Cd 0.0000 0.0000 0.5000
I1 I 0.0000 0.0000 0.0000
```